Entry 1:
First-principles (GGA-PBE) data for crystalline BeAgP2 at its relaxed geometry, as listed in the Alexandria database.

Space-group type ... R-3m
DOS at the Fermi energy ... 0.26 states/eV per atom
Theoretical density ... 5.1 g cm⁻³
V ... 58.5 Å³/cell

Unit cell a=6.901 b=6.901 c=6.901 alpha=26.69 beta=26.69 gamma=26.69
Positions (direct):
P 0.017 0.017 0.017
P 0.483 0.483 0.483
Ag 0.250 0.250 0.250
Be 0.750 0.750 0.750

Entry 2:
First-principles (GGA-PBE) data for crystalline BeAg2P at its relaxed geometry, as listed in the Alexandria database.

Space-group type ... Cmm2
Relative energy among the computed polymorphs ... 63.0 meV/atom
DOS at the Fermi energy ... 0.24 states/eV per atom
Theoretical density ... 6.9 g cm⁻³
V ... 61.9 Å³/cell

Unit cell a=2.935 b=2.935 c=7.387 alpha=90.00 beta=90.00 gamma=103.35
Positions (direct):
P 0.500 0.500 0.685
Ag 0.000 0.000 0.991
Ag 0.500 0.500 0.290
Be 0.000 0.000 0.534

Energy relative to the elements, record by record: 1.17; 0.97 eV/f.u.